Density functional theory data (PBE) for a geometry-optimized W2Se2Br structure.

abc: 3.2080 3.2080 21.6602
angles: 90.00 90.00 90.00
Space group I4/mmm (No. 139)
Inequivalent atoms, fractional coordinates:
1 W 0.0000 0.0000 0.1128 x4
2 Se 0.0000 0.0000 0.3304 x4
3 Br 0.0000 0.0000 0.0000 x2

Its distance to the lowest polymorph of the same formula is 431 meV per atom. The value obtained for the formation energy without anion corrections is 0.421 eV/atom.